Here is a relaxed structure of NaCa2Rh from Alexandria via LeMat-Bulk. Energies are from PBE-GGA.

Lattice parameters (Å, degrees): 5.180 5.180 5.180 60.00 60.00 60.00
Positions (direct):
Ca1 0.500 0.500 0.500
Ca2 0.000 0.000 0.000
Rh1 0.750 0.750 0.750
Na1 0.250 0.250 0.250

Calculated values
V = 98 Å³/cell
Space-group type = Fm-3m, No. 225
Energy of formation = -0.13 eV per atom



Here is a relaxed structure of UTl3Rh2S6 from Alexandria via LeMat-Bulk. Energies are from PBE-GGA.

Lattice parameters (Å, degrees): 6.094 6.094 8.662 97.53 97.53 120.04
Each line ends with the local moment (μB).
Positions (direct):
S1 0.936 0.573 0.829  -0.02
S2 0.299 0.299 0.829  -0.02
S3 0.427 0.064 0.171  -0.02
S4 0.064 0.427 0.171  -0.02
S5 0.573 0.936 0.829  -0.02
S6 0.701 0.701 0.171  -0.02
Tl1 0.831 0.169 0.500  0.01
Tl2 0.169 0.831 0.500  0.01
Tl3 0.500 0.500 0.500  0.01
Rh1 0.333 0.667 0.000  0.08
Rh2 0.667 0.333 0.000  0.08
U1 0.000 0.000 0.000  1.20

Calculated values
V = 269 Å³/cell
Space-group type = C2/m, No. 12
Uncorrected formation energy = -671 meV per atom



Here is a relaxed structure of LaTbOsO6 from Alexandria via LeMat-Bulk. Energies are from PBE-GGA.

Lattice parameters (Å, degrees): 5.700 5.700 9.230 90.00 90.00 120.00
Each line ends with the local moment (μB).
Positions (direct):
O1 0.939 0.313 0.131  0.08
O2 0.061 0.687 0.869  0.08
O3 0.626 0.939 0.869  0.08
O4 0.061 0.374 0.631  0.08
O5 0.687 0.626 0.131  0.08
O6 0.626 0.687 0.631  0.08
O7 0.939 0.626 0.369  0.08
O8 0.374 0.061 0.131  0.08
O9 0.313 0.939 0.631  0.08
O10 0.313 0.374 0.869  0.08
O11 0.374 0.313 0.369  0.08
O12 0.687 0.061 0.369  0.08
Tb1 0.000 0.000 0.000  0.07
Tb2 0.000 0.000 0.500  0.07
La1 0.333 0.667 0.250  0.03
La2 0.667 0.333 0.750  0.03
Os1 0.667 0.333 0.250  1.27
Os2 0.333 0.667 0.750  1.27

Calculated values
V = 260 Å³/cell
Space-group type = P-31c, No. 163
Uncorrected formation energy = -2331 meV per atom



Here is a relaxed structure of YBe2AgAu from Alexandria via LeMat-Bulk. Energies are from PBE-GGA.

Lattice parameters (Å, degrees): 5.060 5.400 5.060 90.00 90.00 90.00
Positions (direct):
Au1 0.500 0.500 0.500
Y1 0.000 0.000 0.000
Be1 0.000 0.000 0.500
Be2 0.500 0.000 0.000
Ag1 0.000 0.500 0.000

Calculated values
V = 138 Å³/cell
Space-group type = P4/mmm, No. 123
Energy of formation = 1.68 eV per atom



Here is a relaxed structure of YRe3 from Alexandria via LeMat-Bulk. Energies are from PBE-GGA.

Lattice parameters (Å, degrees): 2.799 5.366 5.366 62.96 100.02 79.98
Positions (direct):
Re1 0.500 0.000 0.500
Re2 0.500 0.500 0.000
Re3 0.000 0.000 0.000
Y1 0.000 0.500 0.500

Calculated values
V = 68 Å³/cell
Energy above the lowest structure with this stoichiometry = 0.143 eV per atom
Space-group type = R-3m, No. 166
Energy of formation = 0.41 eV per atom



Here is a relaxed structure of K3Mn2Cl9 from Alexandria via LeMat-Bulk. Energies are from PBE-GGA.

Lattice parameters (Å, degrees): 9.255 9.255 9.255 80.00 80.00 80.00
Each line ends with the local moment (μB).
Positions (direct):
Cl1 0.092 0.250 0.408  0.01
Cl2 0.101 0.931 0.266  0.01
Cl3 0.734 0.899 0.069  0.01
Cl4 0.569 0.399 0.234  0.01
Cl5 0.399 0.234 0.569  0.01
Cl6 0.908 0.750 0.592  0.01
Cl7 0.766 0.431 0.601  0.01
Cl8 0.899 0.069 0.734  0.01
Cl9 0.750 0.592 0.908  0.01
Cl10 0.431 0.601 0.766  0.01
Cl11 0.266 0.101 0.931  0.01
Cl12 0.069 0.734 0.899  0.01
Cl13 0.408 0.092 0.250  0.01
Cl14 0.931 0.266 0.101  0.01
Cl15 0.601 0.766 0.431  0.01
Cl16 0.234 0.569 0.399  0.01
Cl17 0.592 0.908 0.750  0.01
Cl18 0.250 0.408 0.092  0.01
Mn1 0.838 0.838 0.838  3.67
Mn2 0.662 0.662 0.662  3.67
Mn3 0.338 0.338 0.338  3.67
Mn4 0.162 0.162 0.162  3.67
K1 0.588 0.250 0.912  0.00
K2 0.088 0.412 0.750  0.00
K3 0.412 0.750 0.088  0.00
K4 0.250 0.912 0.588  0.00
K5 0.912 0.588 0.250  0.00
K6 0.750 0.088 0.412  0.00

Calculated values
V = 760 Å³/cell
Space-group type = R-3c, No. 167
Uncorrected formation energy = -1399 meV per atom



Here is a relaxed structure of CsRb2NbCl6 from Alexandria via LeMat-Bulk. Energies are from PBE-GGA.

Lattice parameters (Å, degrees): 8.117 8.117 8.117 60.00 60.00 90.00
Each line ends with the local moment (μB).
Positions (direct):
Cl1 0.718 0.718 0.000  0.00
Cl2 0.718 0.282 0.000  0.00
Cl3 0.282 0.282 0.000  0.00
Cl4 0.282 0.718 0.000  0.00
Cl5 0.718 0.718 0.564  0.00
Cl6 0.282 0.282 0.436  0.00
Rb1 0.750 0.250 0.500  0.00
Rb2 0.250 0.750 0.500  0.00
Nb1 0.500 0.500 0.000  1.62
Cs1 0.000 0.000 0.000  0.00

Calculated values
V = 378 Å³/cell
Space-group type = Fm-3m, No. 225
Uncorrected formation energy = -1587 meV per atom



Here is a relaxed structure of Nb2TlGaAu from Alexandria via LeMat-Bulk. Energies are from PBE-GGA.

Lattice parameters (Å, degrees): 4.871 4.701 4.871 90.00 90.00 90.00
Positions (direct):
Ga1 0.000 0.000 0.000
Tl1 0.500 0.500 0.500
Au1 0.000 0.500 0.000
Nb1 0.500 0.000 0.000
Nb2 0.000 0.000 0.500

Calculated values
V = 112 Å³/cell
Space-group type = P4/mmm, No. 123
Energy of formation = 0.83 eV per atom



Here is a relaxed structure of BaCuSb2 from Alexandria via LeMat-Bulk. Energies are from PBE-GGA.

Lattice parameters (Å, degrees): 5.811 5.811 5.811 135.85 107.19 89.25
Positions (direct):
Cu1 0.250 0.750 0.500
Ba1 0.750 0.250 0.500
Sb1 0.074 0.074 0.000
Sb2 0.426 0.426 0.000

Calculated values
V = 125 Å³/cell
Space-group type = Immm, No. 71
Uncorrected formation energy = -346 meV per atom



Here is a relaxed structure of CoReOs3 from Alexandria via LeMat-Bulk. Energies are from PBE-GGA.

Lattice parameters (Å, degrees): 4.686 4.686 4.686 90.00 90.00 90.00
Each line ends with the local moment (μB).
Positions (direct):
Os1 0.000 0.000 0.500  0.57
Os2 0.500 0.000 0.000  0.61
Os3 0.000 0.500 0.000  0.61
Co1 0.500 0.500 0.500  2.19
Re1 0.000 0.000 0.000  -0.10

Calculated values
V = 103 Å³/cell
Energy above the lowest structure with this stoichiometry = 0.559 eV per atom
Space-group type = Pm-3m, No. 221
Energy of formation = 2.52 eV per atom



Here is a relaxed structure of Y8Co2Ag from Alexandria via LeMat-Bulk. Energies are from PBE-GGA.

Lattice parameters (Å, degrees): 5.517 7.718 7.718 113.15 97.80 97.80
Positions (direct):
Y1 0.415 0.671 0.933
Y2 0.585 0.336 0.073
Y3 0.000 0.245 0.761
Y4 0.415 0.933 0.671
Y5 0.804 0.622 0.622
Y6 0.585 0.073 0.336
Y7 0.196 0.384 0.384
Y8 0.000 0.761 0.245
Co1 0.500 0.308 0.698
Co2 0.500 0.698 0.308
Ag1 0.002 0.003 0.003

Calculated values
V = 293 Å³/cell
Space-group type = Cm, No. 8
Energy of formation = -0.05 eV per atom



Here is a relaxed structure of HfCrCuS4 from Alexandria via LeMat-Bulk. Energies are from PBE-GGA.

Lattice parameters (Å, degrees): 7.176 7.176 7.176 119.69 119.61 90.60
Each line ends with the local moment (μB).
Positions (direct):
S1 0.011 0.508 0.503  -0.02
S2 0.999 0.520 0.021  -0.04
S3 0.999 0.977 0.479  -0.04
S4 0.501 0.980 0.978  -0.04
S5 0.489 0.992 0.497  -0.02
S6 0.501 0.523 0.522  -0.04
S7 0.995 0.992 0.003  -0.02
S8 0.505 0.508 0.997  -0.02
Hf1 0.250 0.250 0.500  0.04
Hf2 0.250 0.750 0.000  0.04
Cr1 0.750 0.750 0.000  2.83
Cr2 0.250 0.750 0.500  2.83
Cu1 0.880 0.130 0.750  -0.01
Cu2 0.620 0.370 0.250  -0.01

Calculated values
V = 263 Å³/cell
Energy above the lowest structure with this stoichiometry = 0.000 eV per atom
Space-group type = Imma, No. 74
Uncorrected formation energy = -1003 meV per atom